VASP calculation (PBE) on crystalline AcAlB at its relaxed geometry.

Summary:
Energy relative to the elements ... -166 meV per atom
Total magnetic moment ... 0.000 μB/cell

POSCAR file:
```
AcAlB
1.0
-3.386 -3.938 -3.936
0.498 -4.080 -4.611
3.913 -1.106 6.375
Al Ac B
2 2 2
direct
0.430 0.536 0.891 Al
0.949 0.115 0.543 Al
0.475 0.944 0.401 Ac
0.904 0.707 0.032 Ac
0.445 0.499 0.587 B
0.934 0.152 0.846 B
```